Below is Nb4SiGe2 after structural relaxation, with properties calculated at the PBE-GGA level.

Summary:
The value obtained for the total magnetic moment is 0.0 μB per formula unit. For the uncorrected formation energy, the calculation gives 3.26 eV per formula unit. Its space group is I4/mmm, No. 139.

Cell lengths 4.5138, 4.5138, 7.5808 Å; angles 72.68, 72.68, 90.00 degrees
Atoms (fractional coordinates):
Nb  0.1775  0.1775  0.6451
Nb  0.8225  0.8225  0.3549
Nb  0.0000  0.5000  0.0000
Nb  0.5000  0.0000  0.0000
Si  0.0000  0.0000  0.0000
Ge  0.3673  0.3673  0.2655
Ge  0.6327  0.6327  0.7345